Entry 1
# Pm4CdPd

A relaxed structure of Pm4CdPd (PBE, Alexandria via LeMat-Bulk).

Properties
The crystal system is cubic.

Unit cell a=9.943 b=9.943 c=9.943 alpha=60.00 beta=60.00 gamma=60.00
Atoms (fractional coordinates):
Pm 0.942 0.942 0.558
Cd 0.169 0.493 0.169
Pm 0.398 0.807 0.398
Pm 0.807 0.398 0.398
Pm 0.942 0.558 0.558
Pm 0.398 0.398 0.398
Pm 0.942 0.558 0.942
Pm 0.185 0.815 0.185
Pm 0.558 0.942 0.942
Cd 0.493 0.169 0.169
Cd 0.169 0.169 0.493
Pd 0.182 0.606 0.606
Pd 0.606 0.606 0.182
Pm 0.815 0.185 0.185
Pd 0.606 0.606 0.606
Pm 0.558 0.558 0.942
Pm 0.558 0.942 0.558
Pm 0.185 0.185 0.815
Pd 0.606 0.182 0.606
Pm 0.815 0.815 0.185
Pm 0.815 0.185 0.815
Pm 0.398 0.398 0.807
Pm 0.185 0.815 0.815
Cd 0.169 0.169 0.169

Entry 2
# Pm4CdPd

A relaxed structure of Pm4CdPd (PBE, Alexandria via LeMat-Bulk).

Properties
The crystal system is triclinic.

Unit cell a=6.025 b=8.877 c=8.345 alpha=118.16 beta=97.70 gamma=109.04
Atoms (fractional coordinates):
Pm 0.283 0.651 0.873
Pd 0.240 0.007 0.002
Pm 0.782 0.679 0.619
Pm 0.621 0.104 0.370
Pm 0.936 0.819 0.206
Cd 0.623 0.395 0.776
Pd 0.760 0.993 0.998
Pm 0.379 0.896 0.630
Pm 0.218 0.321 0.381
Pm 0.717 0.349 0.127
Cd 0.377 0.605 0.224
Pm 0.064 0.181 0.794

Energetically preferred structure: entry 1 | next structure: +99 meV/atom